# LiB4C4

A relaxed structure of LiB4C4 (PBE, the Alexandria database).

Cell lengths 6.381, 6.381, 9.239 Å; angles 115.16, 115.16, 24.69 degrees
Sites, in units of the cell vectors:
C 0.920 0.920 0.325
C 0.666 0.666 0.981
C 0.828 0.828 0.771
C 0.578 0.578 0.431
C 0.339 0.339 0.039
C 0.156 0.156 0.715
C 0.392 0.392 0.568
C 0.114 0.114 0.196
B 0.633 0.633 0.127
B 0.865 0.865 0.133
B 0.628 0.628 0.622
B 0.873 0.873 0.638
B 0.183 0.183 0.905
B 0.313 0.313 0.848
B 0.075 0.075 0.336
B 0.427 0.427 0.424
Li 0.007 0.007 0.932
Li 0.752 0.752 0.382

V: 141.46 Å³/cell
D(E_F): 0.08 states/eV per atom
Excess energy over the best structure of this formula in the dataset: 0.110 eV per atom
Energy of formation from the pure elements: 19.17 kJ per mole of atoms
Calculated total energy: -127.462 eV per cell